Material: ZrAgBr
Method: DFT, PBE
State: optimized geometry

Cell and atoms, written as POSCAR:
```
ZrAgBr
1.0
0.000 2.796 7.472
1.717 0.000 7.472
1.717 2.796 0.000
Zr Ag Br
1 1 1
direct
0.000 0.000 0.000
0.655 0.655 0.345
0.356 0.356 0.644
```

- Density of states at the Fermi level: 1.12 states/eV/cell
- Raw formation energy: -0.21 eV/atom
- SG: Fmm2
- Excess energy over the best structure of this formula in the dataset: 0.568 eV/f.u.